## Tl2RuRh (PBE-GGA)

Data for a geometry-optimized Tl2RuRh structure.

```
Tl2RuRh
1.0
1.609 0.929 8.433
-1.609 0.929 8.433
0.000 -1.858 8.433
Tl Ru Rh
2 1 1
direct
0.250 0.250 0.250
0.750 0.750 0.750
0.500 0.500 0.500
0.000 0.000 0.000
```

Calculated values
**E_tot**: -19.50 eV/cell
**DOS at the Fermi energy**: 4.71 states/eV/f.u.
**SG**: No. 166
**Energy of formation from the pure elements**: 1.86 eV/f.u.